1.
Material: LaMg3Sn
Method: DFT, PBE
State: optimized geometry

relative energy among the computed polymorphs: 874.8 meV/atom
energy relative to the elements: 1.096 eV per atom
calculated total energy: -1.6464 eV/atom

abc: 5.892 5.892 5.892
angles: 90.00 90.00 90.00
Space group Pm-3m (No. 221)
Symmetry-distinct sites (fractional):
La  0.000  0.000  0.000 x1
Mg  0.000  0.000  0.500 x3
Sn  0.500  0.500  0.500 x1

2.
Material: La4Mg2Sn
Method: DFT, PBE
State: optimized geometry

energy relative to the elements: -0.150 eV per atom
calculated total energy: -3.9927 eV/atom

abc: 5.4896 5.4896 26.4788
angles: 90.00 90.00 120.00
Space group R-3m (No. 166, hexagonal axes)
Symmetry-distinct sites (fractional):
La  0.0000  0.0000  0.1177 x6
La  0.0000  0.0000  0.3694 x6
Mg  0.0000  0.0000  0.2453 x6
Sn  0.0000  0.0000  0.5000 x3

3.
Material: La7Mg2Sn2
Method: DFT, PBE
State: optimized geometry

energy relative to the elements: -0.023 eV per atom
calculated total energy: -4.1761 eV/atom

abc: 11.892 7.925 8.238
angles: 90.00 90.08 90.00
Space group C2/m (No. 12)
Symmetry-distinct sites (fractional):
La  0.000  0.000  0.000 x2
La  0.000  0.500  0.245 x4
La  0.250  0.249  0.310 x8
Mg  0.221  0.500  0.000 x4
Sn  0.000  0.181  0.500 x4

4.
Material: LaMgSn3
Method: DFT, PBE
State: optimized geometry

energy relative to the elements: -0.012 eV per atom
calculated total energy: -3.7177 eV/atom

abc: 5.343 5.343 5.343
angles: 90.00 90.00 90.00
Space group Pm-3m (No. 221)
Symmetry-distinct sites (fractional):
La  0.000  0.000  0.000 x1
Mg  0.500  0.500  0.500 x1
Sn  0.000  0.500  0.500 x3

no.,Fermi-level density of states (states/eV/f.u.)
1,6.4
2,9.1
3,18.3
4,3.2